A crystal of CaHoMo2O6 relaxed with PBEsol. Source: the Alexandria database, functional SCAN.

```
CaHoMo2O6
1.0
5.296 0.000 0.027
0.000 5.718 0.000
-0.039 0.000 7.612
Ho O Ca Mo
2 12 2 4
direct
0.531 0.175 0.250
0.031 0.825 0.750
0.298 0.041 0.950
0.139 0.297 0.250
0.894 0.207 0.750
0.798 0.959 0.050
0.183 0.553 0.944
0.394 0.793 0.250
0.683 0.447 0.444
0.298 0.041 0.550
0.183 0.552 0.555
0.639 0.703 0.750
0.798 0.959 0.450
0.683 0.448 0.055
0.981 0.683 0.250
0.481 0.317 0.750
0.997 0.252 0.498
0.497 0.748 0.501
0.497 0.748 0.998
0.997 0.252 0.001
```

raw total energy	-0.708	hartree per atom
crystal system	orthorhombic

***

A crystal of CaHoV2O6 relaxed with PBEsol. Source: the Alexandria database, functional SCAN.

```
CaHoV2O6
1.0
5.225 0.000 0.034
0.000 5.462 0.000
-0.048 0.000 7.475
O Ho V Ca
12 2 4 2
direct
0.106 0.275 0.250
0.193 0.553 0.949
0.793 0.961 0.454
0.419 0.776 0.250
0.693 0.447 0.051
0.793 0.961 0.046
0.693 0.447 0.449
0.193 0.553 0.551
0.293 0.039 0.546
0.919 0.224 0.750
0.606 0.725 0.750
0.293 0.039 0.954
0.519 0.185 0.250
0.019 0.815 0.750
0.999 0.253 0.999
0.499 0.747 0.001
0.999 0.253 0.501
0.499 0.747 0.499
0.487 0.305 0.750
0.987 0.695 0.250
```

raw total energy	-0.599	hartree per atom
crystal system	orthorhombic

***

A crystal of CaHoPd2 relaxed with PBEsol. Source: the Alexandria database, functional SCAN.

```
CaHoPd2
1.0
4.858 0.000 0.000
2.429 4.207 0.000
2.429 1.402 3.967
Ho Ca Pd
1 1 2
direct
0.000 0.000 0.000
0.500 0.500 0.500
0.750 0.750 0.750
0.250 0.250 0.250
```

raw total energy	-1.172	hartree per atom
crystal system	cubic
energy relative to the elements	-846	meV/atom

***

A crystal of CaHoRh2 relaxed with PBEsol. Source: the Alexandria database, functional SCAN.

```
CaHoRh2
1.0
4.724 0.000 0.000
2.362 4.091 0.000
2.362 1.364 3.857
Rh Ca Ho
2 1 1
direct
0.250 0.250 0.250
0.750 0.750 0.750
0.500 0.500 0.500
0.000 0.000 0.000
```

raw total energy	-1.185	hartree per atom
crystal system	cubic
energy relative to the elements	-700	meV/atom

***

A crystal of CaHo2Te4 relaxed with PBEsol. Source: the Alexandria database, functional SCAN.

```
CaHo2Te4
1.0
-1.484 4.050 0.044
-6.697 -2.475 1.887
3.882 1.353 6.400
Ho Te Ca
2 4 1
direct
0.000 0.000 0.000
0.500 0.500 0.000
0.500 0.238 0.246
0.500 0.762 0.754
0.000 0.748 0.240
0.000 0.252 0.760
0.000 0.500 0.500
```

raw total energy	-1.406	hartree per atom
crystal system	monoclinic

***

A crystal of CaHoZn2 relaxed with PBEsol. Source: the Alexandria database, functional SCAN.

```
CaHoZn2
1.0
-1.360 4.799 -0.179
-3.248 1.546 -3.460
-4.620 1.336 1.334
Zn Ho Ca
2 1 1
direct
0.250 0.250 0.250
0.750 0.750 0.750
0.000 0.000 0.000
0.500 0.500 0.500
```

raw total energy	-0.800	hartree per atom
crystal system	cubic
energy relative to the elements	-347	meV/atom

***

A crystal of CaI2 relaxed with PBEsol. Source: the Alexandria database, functional SCAN.

```
CaI2
1.0
-3.936 -2.058 0.084
3.739 -2.371 -0.369
0.394 -0.470 7.010
I Ca
2 1
direct
0.667 0.333 0.750
0.333 0.667 0.250
0.000 0.000 0.000
```

raw total energy	-1.084	hartree per atom
crystal system	trigonal

***

A crystal of Ca2InPdI relaxed with PBEsol. Source: the Alexandria database, functional SCAN.

```
Ca2InPdI
1.0
-4.670 -1.117 -0.838
0.590 -4.914 3.261
-1.593 3.023 4.843
Pd I Ca In
1 1 2 1
direct
0.500 0.000 0.000
0.500 0.500 0.500
0.000 0.000 0.500
0.000 0.500 0.000
0.000 0.000 0.000
```

raw total energy	-0.911	hartree per atom
crystal system	tetragonal